# 1
NpPbSe3: optimized geometry, PBE.

Output
energy above the lowest structure with this stoichiometry	41.6	meV/atom
uncorrected formation energy	-367.4	kJ/mol of formula units
density	7.059	g/cm3

Cell lengths 13.6441, 5.4145, 8.8229 Å; angles 90.00, 100.50, 90.00 degrees
Space group C2/m (No. 12)
Inequivalent atoms, fractional coordinates:
Np (0.1341, 0.0000, 0.4142) (multiplicity 4)
Pb (0.1306, 0.5000, 0.8899) (multiplicity 4)
Se (0.0709, 0.0000, 0.7007) (multiplicity 4)
Se (0.1634, 0.5000, 0.4372) (multiplicity 4)
Se (0.1641, 0.0000, 0.1046) (multiplicity 4)


# 2
Np3PbSe6: optimized geometry, PBE.

Output
uncorrected formation energy	-943.4	kJ/mol of formula units
density	8.114	g/cm3

Cell lengths 11.5867, 4.2375, 12.1711 Å; angles 90.00, 107.56, 90.00 degrees
Space group P2_1/m (No. 11)
Inequivalent atoms, fractional coordinates:
Np (0.0516, 0.2500, 0.1655) (multiplicity 2)
Np (0.1801, 0.7500, 0.4967) (multiplicity 2)
Np (0.3447, 0.2500, 0.9156) (multiplicity 2)
Pb (0.4653, 0.2500, 0.3175) (multiplicity 2)
Se (0.0157, 0.2500, 0.3895) (multiplicity 2)
Se (0.1095, 0.2500, 0.9496) (multiplicity 2)
Se (0.2158, 0.7500, 0.2661) (multiplicity 2)
Se (0.2938, 0.7500, 0.7535) (multiplicity 2)
Se (0.3701, 0.2500, 0.5300) (multiplicity 2)
Se (0.4103, 0.7500, 0.0815) (multiplicity 2)


# 3
Np2Pb2Se7: optimized geometry, PBE.

Output
uncorrected formation energy	-701.2	kJ/mol of formula units
density	7.314	g/cm3

Cell lengths 8.7429, 10.4085, 7.1913 Å; angles 90.00, 90.00, 90.00 degrees
Space group Cmmm (No. 65)
Inequivalent atoms, fractional coordinates:
Np (0.0000, 0.2346, 0.0000) (multiplicity 4)
Pb (0.2502, 0.0000, 0.5000) (multiplicity 4)
Se (0.0000, 0.0000, 0.2329) (multiplicity 4)
Se (0.0000, 0.5000, 0.0000) (multiplicity 2)
Se (0.2500, 0.2500, 0.2461) (multiplicity 8)


# 4
NpTlPb2Se4: optimized geometry, PBE.

Output
uncorrected formation energy	-482.1	kJ/mol of formula units
density	8.199	g/cm3

Cell lengths 6.1788, 6.1788, 12.4311 Å; angles 90.00, 90.00, 90.00 degrees
Space group I-4m2 (No. 119)
Inequivalent atoms, fractional coordinates:
Np (0.0000, 0.0000, 0.0000) (multiplicity 2)
Tl (0.0000, 0.5000, 0.2500) (multiplicity 2)
Pb (0.0000, 0.0000, 0.5000) (multiplicity 2)
Pb (0.0000, 0.5000, 0.7500) (multiplicity 2)
Se (0.0000, 0.0000, 0.2325) (multiplicity 4)
Se (0.0000, 0.5000, 0.5057) (multiplicity 4)


# 5
Np2Tl3PbSe6: optimized geometry, PBE.

Output
uncorrected formation energy	-935.0	kJ/mol of formula units
density	8.018	g/cm3

Cell lengths 7.4319, 12.8230, 8.0652 Å; angles 90.00, 107.66, 90.00 degrees
Space group C2/m (No. 12)
Inequivalent atoms, fractional coordinates:
Np (0.0000, 0.1674, 0.0000) (multiplicity 4)
Tl (0.0000, 0.0000, 0.5000) (multiplicity 2)
Tl (0.0000, 0.3390, 0.5000) (multiplicity 4)
Pb (0.0000, 0.5000, 0.0000) (multiplicity 2)
Se (0.2107, 0.0000, 0.2037) (multiplicity 4)
Se (0.2488, 0.3214, 0.2101) (multiplicity 8)


# 6
NpTl3Pb2Se6: optimized geometry, PBE.

Output
uncorrected formation energy	-759.3	kJ/mol of formula units
density	7.762	g/cm3

Cell lengths 7.5743, 13.0143, 7.9410 Å; angles 90.00, 108.17, 90.00 degrees
Space group C2/m (No. 12)
Inequivalent atoms, fractional coordinates:
Np (0.0000, 0.0000, 0.0000) (multiplicity 2)
Tl (0.0000, 0.1696, 0.5000) (multiplicity 4)
Tl (0.0000, 0.5000, 0.5000) (multiplicity 2)
Pb (0.0000, 0.3339, 0.0000) (multiplicity 4)
Se (0.2204, 0.1511, 0.2092) (multiplicity 8)
Se (0.2285, 0.0000, 0.7823) (multiplicity 4)


# 7
NpSiPb: optimized geometry, PBE.

Output
uncorrected formation energy	24.7	kJ/mol of formula units
density	10.495	g/cm3

Cell lengths 4.7192, 18.0594, 3.5071 Å; angles 90.00, 90.00, 90.00 degrees
Space group Cmcm (No. 63)
Inequivalent atoms, fractional coordinates:
Np (0.0000, 0.0450, 0.2500) (multiplicity 4)
Si (0.0000, 0.4532, 0.2500) (multiplicity 4)
Pb (0.0000, 0.2991, 0.2500) (multiplicity 4)


# 8
NpSnPb2: optimized geometry, PBE.

Output
energy above the lowest structure with this stoichiometry	0.0	meV/atom
formation enthalpy at 0 K	0.13	eV per formula unit
density	11.693	g/cm3

Cell lengths 4.7669, 4.7669, 4.8128 Å; angles 90.00, 90.00, 90.00 degrees
Space group P4/mmm (No. 123)
Inequivalent atoms, fractional coordinates:
Np (0.0000, 0.0000, 0.0000) (multiplicity 1)
Sn (0.5000, 0.5000, 0.0000) (multiplicity 1)
Pb (0.0000, 0.5000, 0.5000) (multiplicity 2)


# 9
NpSnPb: optimized geometry, PBE.

Output
energy above the lowest structure with this stoichiometry	0.0	meV/atom
formation enthalpy at 0 K	0.60	eV per formula unit
density	11.475	g/cm3

Cell lengths 5.5389, 5.5389, 3.0658 Å; angles 90.00, 90.00, 120.00 degrees
Space group P-6m2 (No. 187)
Inequivalent atoms, fractional coordinates:
Np (0.0000, 0.0000, 0.0000) (multiplicity 1)
Sn (0.6667, 0.3333, 0.5000) (multiplicity 1)
Pb (0.3333, 0.6667, 0.5000) (multiplicity 1)


# 10
NpSnPb2: optimized geometry, PBE.

Output
energy above the lowest structure with this stoichiometry	209.0	meV/atom
formation enthalpy at 0 K	0.97	eV per formula unit
density	11.200	g/cm3

Cell lengths 3.3094, 3.3094, 36.1157 Å; angles 90.00, 90.00, 120.00 degrees
Space group R-3m (No. 166, hexagonal axes)
Inequivalent atoms, fractional coordinates:
Np (0.0000, 0.0000, 0.0000) (multiplicity 3)
Sn (0.0000, 0.0000, 0.5000) (multiplicity 3)
Pb (0.0000, 0.0000, 0.4122) (multiplicity 6)


# 11
NpSnPb: optimized geometry, PBE.

Output
energy above the lowest structure with this stoichiometry	19.5	meV/atom
formation enthalpy at 0 K	0.66	eV per formula unit
density	11.419	g/cm3

Cell lengths 3.7614, 3.7614, 11.5713 Å; angles 90.00, 90.00, 90.00 degrees
Space group I4mm (No. 107)
Inequivalent atoms, fractional coordinates:
Np (0.0000, 0.0000, 0.0000) (multiplicity 2)
Sn (0.0000, 0.0000, 0.3312) (multiplicity 2)
Pb (0.0000, 0.0000, 0.6838) (multiplicity 2)


# 12
NpSnPb2: optimized geometry, PBE.

Output
energy above the lowest structure with this stoichiometry	168.4	meV/atom
formation enthalpy at 0 K	0.81	eV per formula unit
density	11.358	g/cm3

Cell lengths 4.1195, 4.1195, 6.6345 Å; angles 90.00, 90.00, 90.00 degrees
Space group P4/mmm (No. 123)
Inequivalent atoms, fractional coordinates:
Np (0.0000, 0.0000, 0.0000) (multiplicity 1)
Sn (0.0000, 0.0000, 0.5000) (multiplicity 1)
Pb (0.5000, 0.5000, 0.2568) (multiplicity 2)


# 13
NpSnPb: optimized geometry, PBE.

Output
energy above the lowest structure with this stoichiometry	256.8	meV/atom
formation enthalpy at 0 K	1.37	eV per formula unit
density	10.011	g/cm3

Cell lengths 6.0662, 12.9950, 18.9520 Å; angles 90.00, 90.00, 90.00 degrees
Space group Fddd (No. 70, origin choice 2)
Inequivalent atoms, fractional coordinates:
Np (0.1250, 0.1250, 0.3526) (multiplicity 16)
Sn (0.0000, 0.0000, 0.5000) (multiplicity 16)
Pb (0.1156, 0.3750, 0.3750) (multiplicity 16)


# 14
Np2TcPb: optimized geometry, PBE.

Output
formation enthalpy at 0 K	1.31	eV per formula unit
density	14.457	g/cm3

Cell lengths 3.8172, 3.8172, 6.1423 Å; angles 90.00, 90.00, 90.00 degrees
Space group P4/mmm (No. 123)
Inequivalent atoms, fractional coordinates:
Np (0.0000, 0.0000, 0.2116) (multiplicity 2)
Tc (0.5000, 0.5000, 0.0000) (multiplicity 1)
Pb (0.5000, 0.5000, 0.5000) (multiplicity 1)


# 15
NpTe2Pb: optimized geometry, PBE.

Output
uncorrected formation energy	-154.7	kJ/mol of formula units
density	9.967	g/cm3

Cell lengths 3.8277, 3.8277, 7.9531 Å; angles 90.00, 90.00, 90.00 degrees
Space group P4/mmm (No. 123)
Inequivalent atoms, fractional coordinates:
Np (0.0000, 0.0000, 0.0000) (multiplicity 1)
Te (0.5000, 0.5000, 0.2245) (multiplicity 2)
Pb (0.0000, 0.0000, 0.5000) (multiplicity 1)


# 16
NpTe2Pb: optimized geometry, PBE.

Output
uncorrected formation energy	-141.9	kJ/mol of formula units
density	8.813	g/cm3

Cell lengths 4.2939, 4.2939, 24.7592 Å; angles 90.00, 90.00, 120.00 degrees
Space group R3m (No. 160, hexagonal axes)
Inequivalent atoms, fractional coordinates:
Np (0.0000, 0.0000, 0.0000) (multiplicity 3)
Te (0.0000, 0.0000, 0.5874) (multiplicity 3)
Te (0.0000, 0.0000, 0.7470) (multiplicity 3)
Pb (0.0000, 0.0000, 0.1648) (multiplicity 3)


# 17
Np2Te4Pb: optimized geometry, PBE.

Output
uncorrected formation energy	-354.8	kJ/mol of formula units
density	7.549	g/cm3

Cell lengths 17.1285, 4.4293, 7.6794 Å; angles 90.00, 115.87, 90.00 degrees
Space group C2/m (No. 12)
Inequivalent atoms, fractional coordinates:
Np (0.2437, 0.0000, 0.2343) (multiplicity 4)
Te (0.1304, 0.5000, 0.9630) (multiplicity 4)
Te (0.1384, 0.0000, 0.4780) (multiplicity 4)
Pb (0.0000, 0.5000, 0.5000) (multiplicity 2)


# 18
Np2Tl3Te6Pb: optimized geometry, PBE.

Output
uncorrected formation energy	-598.4	kJ/mol of formula units
density	7.859	g/cm3

Cell lengths 7.9015, 13.6449, 8.4854 Å; angles 90.00, 107.92, 90.00 degrees
Space group C2/m (No. 12)
Inequivalent atoms, fractional coordinates:
Np (0.0000, 0.1677, 0.0000) (multiplicity 4)
Tl (0.0000, 0.0000, 0.5000) (multiplicity 2)
Tl (0.0000, 0.3388, 0.5000) (multiplicity 4)
Te (0.2191, 0.0000, 0.2128) (multiplicity 4)
Te (0.2491, 0.3243, 0.2191) (multiplicity 8)
Pb (0.0000, 0.5000, 0.0000) (multiplicity 2)


# 19
Np3Tl4Te8Pb: optimized geometry, PBE.

Output
uncorrected formation energy	-805.9	kJ/mol of formula units
density	7.888	g/cm3

Cell lengths 9.1066, 9.1066, 24.2395 Å; angles 90.00, 90.00, 120.00 degrees
Space group R-3m (No. 166, hexagonal axes)
Inequivalent atoms, fractional coordinates:
Np (0.0000, 0.5000, 0.0000) (multiplicity 9)
Tl (0.0000, 0.0000, 0.5000) (multiplicity 3)
Tl (0.0000, 0.5000, 0.5000) (multiplicity 9)
Te (0.0000, 0.0000, 0.2625) (multiplicity 6)
Te (0.0139, 0.5070, 0.2613) (multiplicity 18)
Pb (0.0000, 0.0000, 0.0000) (multiplicity 3)


# 20
Np3Tl3Te8Pb: optimized geometry, PBE.

Output
uncorrected formation energy	-734.4	kJ/mol of formula units
density	7.536	g/cm3

Cell lengths 8.9771, 8.9771, 24.1728 Å; angles 90.00, 90.00, 120.00 degrees
Space group R-3m (No. 166, hexagonal axes)
Inequivalent atoms, fractional coordinates:
Np (0.0000, 0.5000, 0.0000) (multiplicity 9)
Tl (0.0000, 0.5000, 0.5000) (multiplicity 9)
Te (0.0000, 0.0000, 0.2620) (multiplicity 6)
Te (0.0214, 0.5107, 0.2611) (multiplicity 18)
Pb (0.0000, 0.0000, 0.0000) (multiplicity 3)